Entry from Alexandria: crystalline La2NiN at its relaxed geometry (PBE).

Computed properties:
formation energy without anion corrections: -0.6095 eV/atom
space-group type: No. 122
crystal system: tetragonal

Unit cell a=6.317 b=6.317 c=6.317 alpha=115.36 beta=115.36 gamma=98.24
Fractional coordinates of all 8 atoms:
La (0.074, 0.625, 0.949)
La (0.375, 0.324, 0.449)
La (0.676, 0.125, 0.051)
La (0.875, 0.926, 0.551)
Ni (0.250, 0.750, 0.500)
Ni (0.500, 0.500, 0.000)
N (0.000, 0.000, 0.000)
N (0.750, 0.250, 0.500)